No. 1
# CsK2TlPt, relaxed, DFT GGA-PBE
data_CsK2TlPt
_chemical_formula_sum 'Cs1 K2 Tl1 Pt1'
_cell_length_a 6.6430
_cell_length_b 6.6430
_cell_length_c 5.2966
_cell_angle_alpha 90.00
_cell_angle_beta 90.00
_cell_angle_gamma 90.00
_symmetry_space_group_name_H-M 'P 4/m m m'
_symmetry_Int_Tables_number 123
_symmetry_space_group_name_Hall '-P 4 2'
loop_
_atom_site_label
_atom_site_fract_x
_atom_site_fract_y
_atom_site_fract_z
Cs1 0.0000 0.0000 0.0000
K1 0.0000 0.5000 0.5000
Tl1 0.5000 0.5000 0.5000
Pt1 0.5000 0.5000 0.0000
# Calculated total energy   -2.19 eV per atom
# Offset from the most stable computed form   0.168 eV/atom
# Formation enthalpy at 0 K   0.0985 eV/atom

No. 2
# CsK2ZnPt, relaxed, DFT GGA-PBE
data_CsK2ZnPt
_chemical_formula_sum 'Cs1 K2 Zn1 Pt1'
_cell_length_a 6.4241
_cell_length_b 6.4241
_cell_length_c 5.0052
_cell_angle_alpha 90.00
_cell_angle_beta 90.00
_cell_angle_gamma 90.00
_symmetry_space_group_name_H-M 'P 4/m m m'
_symmetry_Int_Tables_number 123
_symmetry_space_group_name_Hall '-P 4 2'
loop_
_atom_site_label
_atom_site_fract_x
_atom_site_fract_y
_atom_site_fract_z
Cs1 0.0000 0.0000 0.0000
K1 0.0000 0.5000 0.5000
Zn1 0.5000 0.5000 0.0000
Pt1 0.5000 0.5000 0.5000
# Calculated total energy   -2.07 eV per atom
# Formation enthalpy at 0 K   0.0008 eV/atom

No. 3
# Cs3KRb6, relaxed, DFT GGA-PBE
data_Cs3KRb6
_chemical_formula_sum 'Cs18 K6 Rb36'
_cell_length_a 19.6488
_cell_length_b 19.6488
_cell_length_c 17.3710
_cell_angle_alpha 90.00
_cell_angle_beta 90.00
_cell_angle_gamma 120.00
_symmetry_space_group_name_H-M 'R -3'
_symmetry_Int_Tables_number 148
_symmetry_space_group_name_Hall '-R 3'
loop_
_atom_site_label
_atom_site_fract_x
_atom_site_fract_y
_atom_site_fract_z
Cs1 0.0482 0.5262 0.1252
K1 0.0000 0.0000 0.0000
K2 0.0000 0.0000 0.5000
Rb1 0.0005 0.7473 0.0007
Rb2 0.0852 0.9144 0.7551
# Calculated total energy   -0.93 eV per atom
# Offset from the most stable computed form   0.000 eV/atom
# Formation enthalpy at 0 K   0.0163 eV/atom